Record 1
The following is a GGA-PBE calculation of TiIr2Se after structural relaxation, from Alexandria.

Values from the calculation:
**Density**: 9.8 g cm⁻³
**E_form (uncorrected)**: 0.141 eV/atom

Cell: 5.4381 5.4381 11.7538 Å, 90.00 90.00 90.00°
Space group I-42d (No. 122)
Symmetry-distinct sites (fractional):
Ti 0.0000 0.0000 0.0000 [4 per cell]
Ir 0.2370 0.2500 0.6250 [8 per cell]
Se 0.0000 0.0000 0.5000 [4 per cell]

---

Record 2
The following is a GGA-PBE calculation of TlIr2Se after structural relaxation, from Alexandria.

Values from the calculation:
**Density**: 11.3 g cm⁻³
**Relative energy among the computed polymorphs**: 0 meV/atom
**E_form (uncorrected)**: 0.261 eV/atom

Cell: 3.8845 3.8897 6.4716 Å, 90.00 90.08 90.00°
Space group Pm (No. 6)
Symmetry-distinct sites (fractional):
Tl 0.0000 0.0000 0.0000 [1 per cell]
Ir 0.4992 0.0000 0.6612 [1 per cell]
Ir 0.9991 0.5000 0.6617 [1 per cell]
Se 0.4986 0.5000 0.4371 [1 per cell]

---

Record 3
The following is a GGA-PBE calculation of TlIr2Se after structural relaxation, from Alexandria.

Values from the calculation:
**Density**: 15.9 g cm⁻³
**Relative energy among the computed polymorphs**: 392 meV/atom
**E_form (uncorrected)**: 0.653 eV/atom

Cell: 4.7452 4.7452 3.0958 Å, 90.00 90.00 90.00°
Space group P4/mmm (No. 123)
Symmetry-distinct sites (fractional):
Tl 0.0000 0.0000 0.0000 [1 per cell]
Ir 0.0000 0.5000 0.5000 [2 per cell]
Se 0.5000 0.5000 0.0000 [1 per cell]

---

Record 4
The following is a GGA-PBE calculation of TlIr2Se after structural relaxation, from Alexandria.

Values from the calculation:
**Density**: 15.4 g cm⁻³
**Relative energy among the computed polymorphs**: 606 meV/atom
**E_form (uncorrected)**: 0.867 eV/atom

Cell: 6.6019 6.6019 6.6019 Å, 90.00 90.00 90.00°
Space group F-43m (No. 216)
Symmetry-distinct sites (fractional):
Tl 0.0000 0.0000 0.0000 [4 per cell]
Ir 0.0000 0.0000 0.5000 [4 per cell]
Ir 0.2500 0.2500 0.7500 [4 per cell]
Se 0.2500 0.2500 0.2500 [4 per cell]

---

Record 5
The following is a GGA-PBE calculation of TlIrSe4 after structural relaxation, from Alexandria.

Values from the calculation:
**Density**: 6.5 g cm⁻³
**Relative energy among the computed polymorphs**: 0 meV/atom
**E_form (uncorrected)**: -0.154 eV/atom

Cell: 7.3724 7.6488 7.9619 Å, 102.93 112.74 108.08°
Space group P-1 (No. 2)
Symmetry-distinct sites (fractional):
Tl 0.2105 0.2849 0.4079 [2 per cell]
Ir 0.4994 0.7499 0.9953 [2 per cell]
Se 0.1302 0.1814 0.7473 [2 per cell]
Se 0.2423 0.7030 0.6529 [2 per cell]
Se 0.3038 0.4683 0.0548 [2 per cell]
Se 0.4112 0.9956 0.1573 [2 per cell]

---

Record 6
The following is a GGA-PBE calculation of TlIr2Se after structural relaxation, from Alexandria.

Values from the calculation:
**Density**: 15.4 g cm⁻³
**Relative energy among the computed polymorphs**: 462 meV/atom
**E_form (uncorrected)**: 0.722 eV/atom

Cell: 5.8676 9.3942 2.9740 Å, 90.00 118.85 90.00°
Space group C2/m (No. 12)
Symmetry-distinct sites (fractional):
Tl 0.0000 0.0000 0.0000 [2 per cell]
Ir 0.2500 0.2500 0.0000 [4 per cell]
Se 0.0000 0.5000 0.0000 [2 per cell]

---

Record 7
The following is a GGA-PBE calculation of TlIr2Se after structural relaxation, from Alexandria.

Values from the calculation:
**Density**: 15.6 g cm⁻³
**Relative energy among the computed polymorphs**: 477 meV/atom
**E_form (uncorrected)**: 0.737 eV/atom

Cell: 3.9649 3.9649 9.0220 Å, 90.00 90.00 90.00°
Space group I-4m2 (No. 119)
Symmetry-distinct sites (fractional):
Tl 0.0000 0.0000 0.0000 [2 per cell]
Ir 0.0000 0.0000 0.5000 [2 per cell]
Ir 0.0000 0.5000 0.7500 [2 per cell]
Se 0.0000 0.5000 0.2500 [2 per cell]

---

Record 8
The following is a GGA-PBE calculation of Tl3IrSe after structural relaxation, from Alexandria.

Values from the calculation:
**Density**: 7.8 g cm⁻³
**Relative energy among the computed polymorphs**: 1023 meV/atom
**E_form (uncorrected)**: 1.116 eV/atom

Cell: 5.7365 5.7365 5.7365 Å, 90.00 90.00 90.00°
Space group Pm-3m (No. 221)
Symmetry-distinct sites (fractional):
Tl 0.0000 0.0000 0.5000 [3 per cell]
Ir 0.5000 0.5000 0.5000 [1 per cell]
Se 0.0000 0.0000 0.0000 [1 per cell]